Record 1
DFT (PBE) results for a relaxed structure of K2RbSbCl8.

Formation energy without anion corrections (eV per atom): -1.289
Uncorrected energy (eV/f.u.): -37.531

The structure in CIF format:
```
data_K2RbSbCl8
_chemical_formula_sum 'K2 Rb1 Sb1 Cl8'
_space_group_name_H-M_alt 'P -1'
_space_group_IT_number 2
_space_group_name_Hall '-P 1'
_cell_length_a 5.9763
_cell_length_b 7.6957
_cell_length_c 9.5603
_cell_angle_alpha 85.73
_cell_angle_beta 83.59
_cell_angle_gamma 67.95
loop_
_atom_site_label
_atom_site_type_symbol
_atom_site_fract_x
_atom_site_fract_y
_atom_site_fract_z
_atom_site_occupancy
K1 K 0.1191 0.4724 0.2270 1
Rb1 Rb 0.0000 0.0000 0.0000 1
Sb1 Sb 0.0000 0.0000 0.5000 1
Cl1 Cl 0.2007 0.2181 0.5222 1
Cl2 Cl 0.2436 0.7778 0.6756 1
Cl3 Cl 0.2934 0.8501 0.3081 1
Cl4 Cl 0.3070 0.2885 0.9462 1
```



Record 2
DFT (PBE) results for a relaxed structure of Ac2ThAl.

Formation enthalpy at 0 K (eV/atom): -0.0037
Excess energy over the best structure of this formula in the dataset (meV per atom): 0
Density of states at the Fermi level (states/eV per cell): 4.4
Uncorrected energy (eV/f.u.): -19.394

The structure in CIF format:
```
data_Ac2ThAl
_chemical_formula_sum 'Ac2 Th1 Al1'
_space_group_name_H-M_alt 'P 4/m m m'
_space_group_IT_number 123
_space_group_name_Hall '-P 4 2'
_cell_length_a 3.8032
_cell_length_b 3.8032
_cell_length_c 9.4917
_cell_angle_alpha 90.00
_cell_angle_beta 90.00
_cell_angle_gamma 90.00
loop_
_atom_site_label
_atom_site_type_symbol
_atom_site_fract_x
_atom_site_fract_y
_atom_site_fract_z
_atom_site_occupancy
Ac1 Ac 0.0000 0.0000 0.2214 1
Th1 Th 0.5000 0.5000 0.5000 1
Al1 Al 0.5000 0.5000 0.0000 1
```



Record 3
DFT (PBE) results for a relaxed structure of MgNiPSe2.

Formation energy without anion corrections (eV per atom): 0.881
Density of states at the Fermi level (states/eV per cell): 7.6
Uncorrected energy (eV/f.u.): -15.348

The structure in CIF format:
```
data_MgNiPSe2
_chemical_formula_sum 'Mg1 Ni1 P1 Se2'
_space_group_name_H-M_alt 'P 4/m m m'
_space_group_IT_number 123
_space_group_name_Hall '-P 4 2'
_cell_length_a 4.9637
_cell_length_b 4.9637
_cell_length_c 4.7124
_cell_angle_alpha 90.00
_cell_angle_beta 90.00
_cell_angle_gamma 90.00
loop_
_atom_site_label
_atom_site_type_symbol
_atom_site_fract_x
_atom_site_fract_y
_atom_site_fract_z
_atom_site_occupancy
Mg1 Mg 0.0000 0.0000 0.0000 1
Ni1 Ni 0.5000 0.5000 0.5000 1
P1 P 0.0000 0.0000 0.5000 1
Se1 Se 0.0000 0.5000 0.0000 1
```



Record 4
DFT (PBE) results for a relaxed structure of Er2In5Hg.

Formation enthalpy at 0 K (eV/atom): -0.3715
Density of states at the Fermi level (states/eV per cell): 9.7
Uncorrected energy (eV/f.u.): -26.091

The structure in CIF format:
```
data_Er2In5Hg
_chemical_formula_sum 'Er4 In10 Hg2'
_space_group_name_H-M_alt 'P b a m'
_space_group_IT_number 55
_space_group_name_Hall '-P 2 2ab'
_cell_length_a 6.4755
_cell_length_b 12.9714
_cell_length_c 4.6476
_cell_angle_alpha 90.00
_cell_angle_beta 90.00
_cell_angle_gamma 90.00
loop_
_atom_site_label
_atom_site_type_symbol
_atom_site_fract_x
_atom_site_fract_y
_atom_site_fract_z
_atom_site_occupancy
Er1 Er 0.2489 0.1259 0.0000 1
In1 In 0.0000 0.0000 0.5000 1
In2 In 0.0007 0.7490 0.5000 1
In3 In 0.2478 0.3764 0.0000 1
Hg1 Hg 0.0000 0.5000 0.5000 1
```



Record 5
DFT (PBE) results for a relaxed structure of CePm2Ho.

Formation enthalpy at 0 K (eV/atom): 0.1972
Excess energy over the best structure of this formula in the dataset (meV per atom): 132
Density of states at the Fermi level (states/eV per cell): 40.7
Uncorrected energy (eV/f.u.): -19.224

The structure in CIF format:
```
data_CePm2Ho
_chemical_formula_sum 'Ce4 Pm8 Ho4'
_space_group_name_H-M_alt 'F m -3 m'
_space_group_IT_number 225
_space_group_name_Hall '-F 4 2 3'
_cell_length_a 8.1053
_cell_length_b 8.1053
_cell_length_c 8.1053
_cell_angle_alpha 90.00
_cell_angle_beta 90.00
_cell_angle_gamma 90.00
loop_
_atom_site_label
_atom_site_type_symbol
_atom_site_fract_x
_atom_site_fract_y
_atom_site_fract_z
_atom_site_occupancy
Ce1 Ce 0.0000 0.0000 0.0000 1
Pm1 Pm 0.2500 0.2500 0.2500 1
Ho1 Ho 0.0000 0.0000 0.5000 1
```



Record 6
DFT (PBE) results for a relaxed structure of La4ZnI2Cl.

Formation energy without anion corrections (eV per atom): -0.972
Density of states at the Fermi level (states/eV per cell): 6.8
Uncorrected energy (eV/f.u.): -33.704

The structure in CIF format:
```
data_La4ZnI2Cl
_chemical_formula_sum 'La4 Zn1 I2 Cl1'
_space_group_name_H-M_alt 'P 1 2/m 1'
_space_group_IT_number 10
_space_group_name_Hall '-P 2y'
_cell_length_a 7.2448
_cell_length_b 4.2429
_cell_length_c 8.5335
_cell_angle_alpha 90.00
_cell_angle_beta 107.48
_cell_angle_gamma 90.00
loop_
_atom_site_label
_atom_site_type_symbol
_atom_site_fract_x
_atom_site_fract_y
_atom_site_fract_z
_atom_site_occupancy
La1 La 0.2284 0.0000 0.2083 1
La2 La 0.2521 0.5000 0.7869 1
Zn1 Zn 0.5000 0.0000 0.0000 1
I1 I 0.0000 0.0000 0.5000 1
I2 I 0.5000 0.5000 0.5000 1
Cl1 Cl 0.0000 0.5000 0.0000 1
```